## Rb3Ge4Pt7 (GGA-PBE)

Data for a relaxed structure of Rb3Ge4Pt7.

Geometry as extended XYZ:
```
14
Lattice="-0.292 4.231 -0.556 -8.169 2.052 3.456 2.811 3.362 7.658" Properties=species:S:1:pos:R:3 pbc="T T T"
Rb -1.287 2.388 2.393
Rb -4.363 7.257 8.166
Rb -2.679 2.707 5.557
Ge -4.146 4.350 2.372
Ge -1.503 5.295 8.186
Ge -6.764 6.674 4.987
Ge 1.114 2.971 5.572
Pt -6.238 4.751 6.527
Pt 1.020 5.281 6.752
Pt -0.415 7.458 7.621
Pt 0.588 4.894 4.031
Pt -5.234 2.186 2.938
Pt 0.000 0.000 0.000
Pt -6.670 4.364 3.807
```

E in eV/cell: -67.79
Total magnetic moment in μB per cell: 0.000

***

## BaRu2Pb (GGA-PBE)

Data for a relaxed structure of BaRu2Pb.

Geometry as extended XYZ:
```
4
Lattice="-1.722 -2.190 -2.141 2.515 0.390 -2.422 3.624 -5.642 2.855" Properties=species:S:1:pos:R:3 pbc="T T T"
Ba 1.303 -2.310 -1.568
Pb 3.115 -5.131 -0.141
Ru 3.415 -5.316 2.690
Ru 2.021 -3.146 1.592
```

E in eV/cell: -21.57
Total magnetic moment in μB per cell: 0.404

***

## InHgW2 (GGA-PBE)

Data for a relaxed structure of InHgW2.

Geometry as extended XYZ:
```
4
Lattice="5.404 0.007 0.000 2.444 4.819 0.000 -3.924 -2.413 2.825" Properties=species:S:1:pos:R:3 pbc="T T T"
Hg 1.222 2.410 1.412
In 2.702 0.003 1.412
W 0.000 0.000 0.000
W 3.924 2.413 0.000
```

E in eV/cell: -25.55
Total magnetic moment in μB per cell: 0.009

***

## ZnReO2F (GGA-PBE)

Data for a relaxed structure of ZnReO2F.

Geometry as extended XYZ:
```
5
Lattice="-3.368 -1.809 -0.313 -0.067 -0.533 3.798 -2.123 3.866 0.506" Properties=species:S:1:pos:R:3 pbc="T T T"
Re 0.000 0.000 0.000
Zn -2.779 0.762 1.995
O -0.033 -0.267 1.899
O -1.684 -0.904 -0.157
F -1.062 1.933 0.253
```

E_form (uncorrected) in eV/atom: -0.9434
Total magnetic moment in μB per cell: 0.000